Entry 1:
! Ti3ZnF (meta-GGA SCAN, PBEsol geometry); values from VASP
! Energy = -68.53 eV for the cell shown
! Space-group type = Pm-3m, No. 221
! Density = 5.4 g/cm³
! Volume = 70 Å³ per cell
&SYSTEM
  ibrav = 0, nat = 5, ntyp = 3
/
ATOMIC_SPECIES
Zn 65.41 Zn.upf
F 19.00 F.upf
Ti 47.87 Ti.upf
CELL_PARAMETERS angstrom
4.114 0.000 0.000
0.000 4.114 0.000
0.000 0.000 4.114
ATOMIC_POSITIONS crystal
Zn 0.500 0.500 0.500
F 0.000 0.000 0.000
Ti 0.000 0.500 0.000
Ti 0.000 0.000 0.500
Ti 0.500 0.000 0.000


Entry 2:
! Tl3VF6 (meta-GGA SCAN, PBEsol geometry); values from VASP
! Energy = -279.46 eV for the cell shown
! Space-group type = Fm-3m, No. 225
! Density = 7.1 g/cm³
! Volume = 181 Å³ per cell
&SYSTEM
  ibrav = 0, nat = 10, ntyp = 3
/
ATOMIC_SPECIES
Tl 204.38 Tl.upf
V 50.94 V.upf
F 19.00 F.upf
CELL_PARAMETERS angstrom
6.354 0.000 0.000
3.177 5.503 0.000
3.177 1.834 5.188
ATOMIC_POSITIONS crystal
Tl 0.250 0.250 0.250
Tl 0.750 0.750 0.750
Tl 0.500 0.500 0.500
V 0.000 0.000 0.000
F 0.786 0.214 0.214
F 0.214 0.786 0.786
F 0.786 0.214 0.786
F 0.214 0.786 0.214
F 0.786 0.786 0.214
F 0.214 0.214 0.786


Entry 3:
! YTlWF2 (meta-GGA SCAN, PBEsol geometry); values from VASP
! Energy = -175.47 eV for the cell shown
! Space-group type = P4/mmm, No. 123
! Density = 6.7 g/cm³
! Volume = 127 Å³ per cell
&SYSTEM
  ibrav = 0, nat = 5, ntyp = 4
/
ATOMIC_SPECIES
Y 88.91 Y.upf
Tl 204.38 Tl.upf
W 183.84 W.upf
F 19.00 F.upf
CELL_PARAMETERS angstrom
-3.435 2.047 1.861
-2.678 -1.718 -3.055
-1.028 -5.210 3.832
ATOMIC_POSITIONS crystal
Y 0.000 0.000 0.500
Tl 0.000 0.000 0.000
W 0.500 0.500 0.500
F 0.000 0.500 0.000
F 0.500 0.000 0.000


Entry 4:
! UF6 (meta-GGA SCAN, PBEsol geometry); values from VASP
! Energy = -593.93 eV for the cell shown
! Space-group type = Pnma, No. 62
! Density = 5.1 g/cm³
! Volume = 461 Å³ per cell
&SYSTEM
  ibrav = 0, nat = 28, ntyp = 2
/
ATOMIC_SPECIES
U 238.03 U.upf
F 19.00 F.upf
CELL_PARAMETERS angstrom
-3.905 2.812 -1.983
-5.907 -5.551 3.760
-0.093 5.621 8.154
ATOMIC_POSITIONS crystal
U 0.074 0.250 0.130
U 0.426 0.250 0.630
U 0.926 0.750 0.870
U 0.574 0.750 0.370
F 0.757 0.250 0.014
F 0.743 0.250 0.514
F 0.243 0.750 0.986
F 0.257 0.750 0.486
F 0.389 0.250 0.247
F 0.111 0.250 0.747
F 0.611 0.750 0.753
F 0.889 0.750 0.253
F 0.231 0.408 0.012
F 0.269 0.092 0.512
F 0.769 0.908 0.988
F 0.731 0.592 0.488
F 0.769 0.592 0.988
F 0.731 0.908 0.488
F 0.231 0.092 0.012
F 0.269 0.408 0.512
F 0.917 0.409 0.247
F 0.583 0.091 0.747
F 0.083 0.909 0.753
F 0.417 0.591 0.253
F 0.083 0.591 0.753
F 0.417 0.909 0.253
F 0.917 0.091 0.247
F 0.583 0.409 0.747


Entry 5:
! UF3 (meta-GGA SCAN, PBEsol geometry); values from VASP
! Energy = -773.36 eV for the cell shown
! Space-group type = P6_3cm, No. 185
! Density = 9.4 g/cm³
! Volume = 312 Å³ per cell
&SYSTEM
  ibrav = 0, nat = 24, ntyp = 2
/
ATOMIC_SPECIES
U 238.03 U.upf
F 19.00 F.upf
CELL_PARAMETERS angstrom
-0.855 -5.625 -4.141
-1.404 -0.451 6.881
-6.876 1.982 -1.273
ATOMIC_POSITIONS crystal
U 0.000 0.673 0.748
U 0.673 0.673 0.248
U 0.327 0.000 0.248
U 0.673 0.000 0.748
U 0.327 0.327 0.748
U 0.000 0.327 0.248
F 0.000 0.375 0.583
F 0.375 0.375 0.083
F 0.625 0.000 0.083
F 0.375 0.000 0.583
F 0.625 0.625 0.583
F 0.000 0.625 0.083
F 0.000 0.000 0.171
F 0.000 0.000 0.671
F 0.333 0.667 0.305
F 0.667 0.333 0.805
F 0.333 0.667 0.805
F 0.667 0.333 0.305
F 0.000 0.721 0.419
F 0.721 0.721 0.919
F 0.279 0.000 0.919
F 0.721 0.000 0.419
F 0.279 0.279 0.419
F 0.000 0.279 0.919


Entry 6:
! UF5 (meta-GGA SCAN, PBEsol geometry); values from VASP
! Energy = -142.91 eV for the cell shown
! Space-group type = I4/m, No. 87
! Density = 5.7 g/cm³
! Volume = 97 Å³ per cell
&SYSTEM
  ibrav = 0, nat = 6, ntyp = 2
/
ATOMIC_SPECIES
U 238.03 U.upf
F 19.00 F.upf
CELL_PARAMETERS angstrom
4.469 0.000 0.000
2.234 4.668 0.000
2.234 0.000 4.668
ATOMIC_POSITIONS crystal
U 0.000 0.000 0.000
F 0.285 0.824 0.606
F 0.500 0.000 0.000
F 0.715 0.176 0.394
F 0.109 0.606 0.176
F 0.891 0.394 0.824


Entry 7:
! V5F11 (meta-GGA SCAN, PBEsol geometry); values from VASP
! Energy = -697.83 eV for the cell shown
! Space-group type = P2_1/c, No. 14
! Density = 3.4 g/cm³
! Volume = 897 Å³ per cell
&SYSTEM
  ibrav = 0, nat = 64, ntyp = 2
/
ATOMIC_SPECIES
V 50.94 V.upf
F 19.00 F.upf
CELL_PARAMETERS angstrom
7.824 0.015 0.000
-1.188 8.191 0.000
0.000 0.000 13.994
ATOMIC_POSITIONS crystal
V 0.715 0.455 0.832
V 0.934 0.422 0.328
V 0.558 0.299 0.176
V 0.728 0.265 0.504
V 0.347 0.342 0.664
V 0.772 0.235 0.004
V 0.942 0.201 0.676
V 0.566 0.078 0.828
V 0.153 0.158 0.164
V 0.785 0.045 0.332
V 0.215 0.955 0.668
V 0.847 0.842 0.836
V 0.434 0.922 0.172
V 0.058 0.799 0.324
V 0.228 0.765 0.996
V 0.653 0.658 0.336
V 0.272 0.735 0.496
V 0.442 0.701 0.824
V 0.066 0.578 0.672
V 0.285 0.545 0.168
F 0.731 0.466 0.411
F 0.724 0.415 0.087
F 0.497 0.499 0.249
F 0.900 0.403 0.599
F 0.897 0.391 0.915
F 0.535 0.325 0.575
F 0.126 0.368 0.241
F 0.125 0.372 0.741
F 0.567 0.278 0.914
F 0.763 0.255 0.257
F 0.335 0.333 0.103
F 0.737 0.245 0.757
F 0.933 0.222 0.414
F 0.965 0.175 0.075
F 0.603 0.109 0.415
F 0.600 0.097 0.099
F 0.165 0.167 0.603
F 0.776 0.085 0.587
F 0.375 0.128 0.241
F 0.374 0.132 0.741
F 0.769 0.034 0.911
F 0.997 0.999 0.251
F 0.003 0.001 0.749
F 0.231 0.966 0.089
F 0.626 0.868 0.259
F 0.625 0.872 0.759
F 0.224 0.915 0.413
F 0.835 0.833 0.397
F 0.400 0.903 0.901
F 0.397 0.891 0.585
F 0.035 0.825 0.925
F 0.067 0.778 0.586
F 0.263 0.755 0.243
F 0.665 0.667 0.897
F 0.237 0.745 0.743
F 0.433 0.722 0.086
F 0.875 0.628 0.259
F 0.874 0.632 0.759
F 0.465 0.675 0.425
F 0.103 0.609 0.085
F 0.100 0.597 0.401
F 0.503 0.501 0.751
F 0.276 0.585 0.913
F 0.269 0.534 0.589


Entry 8:
! V6F13 (meta-GGA SCAN, PBEsol geometry); values from VASP
! Energy = -416.51 eV for the cell shown
! Space-group type = P-1, No. 2
! Density = 3.5 g/cm³
! Volume = 519 Å³ per cell
&SYSTEM
  ibrav = 0, nat = 38, ntyp = 2
/
ATOMIC_SPECIES
V 50.94 V.upf
F 19.00 F.upf
CELL_PARAMETERS angstrom
-6.277 3.149 -3.483
-4.516 -4.833 -4.338
-7.725 -3.035 5.585
ATOMIC_POSITIONS crystal
V 0.957 0.921 0.748
V 0.864 0.719 0.499
V 0.783 0.570 0.979
V 0.421 0.844 0.498
V 0.683 0.357 0.751
V 0.753 0.512 0.269
V 0.247 0.488 0.731
V 0.317 0.643 0.249
V 0.579 0.156 0.502
V 0.217 0.430 0.021
V 0.136 0.281 0.501
V 0.043 0.079 0.252
F 0.834 0.997 0.390
F 0.762 0.825 0.860
F 0.603 0.873 0.601
F 0.684 0.712 0.383
F 0.637 0.535 0.867
F 0.258 0.841 0.368
F 0.888 0.442 0.611
F 0.178 0.682 0.852
F 0.947 0.587 0.110
F 0.465 0.568 0.622
F 0.555 0.692 0.131
F 0.111 0.876 0.152
F 0.029 0.719 0.627
F 0.971 0.281 0.373
F 0.889 0.124 0.848
F 0.445 0.308 0.869
F 0.535 0.432 0.378
F 0.053 0.413 0.890
F 0.822 0.318 0.148
F 0.112 0.558 0.389
F 0.742 0.159 0.632
F 0.363 0.465 0.133
F 0.316 0.288 0.617
F 0.397 0.127 0.399
F 0.238 0.175 0.140
F 0.166 0.003 0.610


Entry 9:
! V2F9 (meta-GGA SCAN, PBEsol geometry); values from VASP
! Energy = -196.54 eV for the cell shown
! Space-group type = P6_3/mcm, No. 193
! Density = 2.9 g/cm³
! Volume = 317 Å³ per cell
&SYSTEM
  ibrav = 0, nat = 22, ntyp = 2
/
ATOMIC_SPECIES
V 50.94 V.upf
F 19.00 F.upf
CELL_PARAMETERS angstrom
5.033 0.000 0.000
-2.516 4.359 0.000
0.000 0.000 14.430
ATOMIC_POSITIONS crystal
V 0.000 0.000 0.151
V 0.000 0.000 0.349
V 0.000 0.000 0.849
V 0.000 0.000 0.651
F 0.302 0.000 0.904
F 0.000 0.698 0.404
F 0.698 0.000 0.404
F 0.698 0.698 0.904
F 0.731 0.731 0.250
F 0.000 0.302 0.904
F 0.698 0.698 0.596
F 0.302 0.302 0.404
F 0.000 0.731 0.750
F 0.000 0.698 0.096
F 0.269 0.269 0.750
F 0.302 0.302 0.096
F 0.302 0.000 0.596
F 0.269 0.000 0.250
F 0.000 0.302 0.596
F 0.000 0.269 0.250
F 0.698 0.000 0.096
F 0.731 0.000 0.750


Entry 10:
! VZnF4 (meta-GGA SCAN, PBEsol geometry); values from VASP
! Energy = -122.56 eV for the cell shown
! Space-group type = P-1, No. 2
! Density = 4.4 g/cm³
! Volume = 145 Å³ per cell
&SYSTEM
  ibrav = 0, nat = 12, ntyp = 3
/
ATOMIC_SPECIES
V 50.94 V.upf
Zn 65.41 Zn.upf
F 19.00 F.upf
CELL_PARAMETERS angstrom
-2.873 1.957 -3.628
3.334 -1.622 -3.887
-2.329 -4.685 -2.507
ATOMIC_POSITIONS crystal
V 0.500 0.000 0.000
V 0.000 0.500 0.000
Zn 0.379 0.304 0.404
Zn 0.621 0.696 0.596
F 0.348 0.001 0.705
F 0.284 0.646 0.142
F 0.652 0.999 0.295
F 0.190 0.177 0.185
F 0.716 0.354 0.858
F 0.257 0.517 0.656
F 0.810 0.823 0.815
F 0.743 0.483 0.344


Entry 11:
! VZnF6 (meta-GGA SCAN, PBEsol geometry); values from VASP
! Energy = -74.83 eV for the cell shown
! Space-group type = R-3, No. 148
! Density = 3.8 g/cm³
! Volume = 99 Å³ per cell
&SYSTEM
  ibrav = 0, nat = 8, ntyp = 3
/
ATOMIC_SPECIES
Zn 65.41 Zn.upf
F 19.00 F.upf
V 50.94 V.upf
CELL_PARAMETERS angstrom
5.063 0.000 0.000
2.531 4.385 0.000
2.531 1.462 4.477
ATOMIC_POSITIONS crystal
Zn 0.500 0.500 0.500
F 0.764 0.354 0.761
F 0.354 0.121 0.761
F 0.879 0.236 0.239
F 0.646 0.879 0.239
F 0.236 0.646 0.239
F 0.121 0.764 0.761
V 0.000 0.000 0.000


Entry 12:
! YW3F (meta-GGA SCAN, PBEsol geometry); values from VASP
! Energy = -235.53 eV for the cell shown
! Space-group type = Pm-3m, No. 221
! Density = 13.2 g/cm³
! Volume = 83 Å³ per cell
&SYSTEM
  ibrav = 0, nat = 5, ntyp = 3
/
ATOMIC_SPECIES
Y 88.91 Y.upf
W 183.84 W.upf
F 19.00 F.upf
CELL_PARAMETERS angstrom
4.359 0.000 0.000
0.000 4.359 0.000
0.000 0.000 4.359
ATOMIC_POSITIONS crystal
Y 0.500 0.500 0.500
W 0.000 0.500 0.000
W 0.000 0.000 0.500
W 0.500 0.000 0.000
F 0.000 0.000 0.000